Computed, not measured: a geometry-optimized Pa4FePt structure at the PBE level of DFT.

a = 5.5226 Å, b = 6.8402 Å, c = 6.8402 Å
α = 90.00°, β = 90.00°, γ = 90.00°
Fractional positions:
1 Pt 0.2500 0.0000 0.0000
2 Pt 0.7500 0.0000 0.0000
3 Pa 0.5000 0.8325 0.6433
4 Pa 0.0000 0.3567 0.1675
5 Pa 0.5000 0.3567 0.8325
6 Pa 0.0000 0.1675 0.6433
7 Pa 0.5000 0.6433 0.1675
8 Pa 0.5000 0.1675 0.3567
9 Pa 0.0000 0.6433 0.8325
10 Pa 0.0000 0.8325 0.3567
11 Fe 0.7500 0.5000 0.5000
12 Fe 0.2500 0.5000 0.5000

DOS(E_F): 17.533 states/eV/cell
Space group: P4/mcc (124)
ΔH_f (0 K): -2.26 eV per formula unit
Energy: -109.486 eV for the cell shown